Entry from Alexandria: a relaxed LiHo2ErTl4 crystal (PBE-GGA).

Cell: 5.2148 5.2148 26.3197 Å, 90.00 90.00 120.00°
Space group R-3m (No. 166, hexagonal axes)
One atom of each set of equivalent atoms:
Li1 0.0000 0.0000 0.0000 [3 per cell]
Ho1 0.0000 0.0000 0.2541 [6 per cell]
Er1 0.0000 0.0000 0.5000 [3 per cell]
Tl1 0.0000 0.0000 0.1231 [6 per cell]
Tl2 0.0000 0.0000 0.3728 [6 per cell]

Calculated values
V, Å³/cell: 619.9
Energy relative to the elements, eV per atom: -0.312
Crystal system: trigonal

=====

Entry from Alexandria: a relaxed LiHoErV crystal (PBE-GGA).

Cell: 7.180 7.180 7.180 Å, 90.00 90.00 90.00°
Space group F-43m (No. 216)
One atom of each set of equivalent atoms:
Li1 0.000 0.000 0.000 [4 per cell]
Ho1 0.250 0.250 0.750 [4 per cell]
Er1 0.250 0.250 0.250 [4 per cell]
V1 0.000 0.000 0.500 [4 per cell]

Calculated values
V, Å³/cell: 370.1
Energy relative to the elements, eV per atom: 0.228
Crystal system: cubic

=====

Entry from Alexandria: a relaxed HoEr2Lu crystal (PBE-GGA).

Cell: 7.886 7.886 7.886 Å, 90.00 90.00 90.00°
Space group Fm-3m (No. 225)
One atom of each set of equivalent atoms:
Ho1 0.000 0.000 0.000 [4 per cell]
Er1 0.250 0.250 0.250 [8 per cell]
Lu1 0.000 0.000 0.500 [4 per cell]

Calculated values
Energy above the most stable polymorph in this dataset, meV per atom: 115
V, Å³/cell: 490.4
Energy relative to the elements, eV per atom: 0.142
Crystal system: cubic

=====

Entry from Alexandria: a relaxed HoEr2Lu crystal (PBE-GGA).

Cell: 3.489 3.489 9.888 Å, 90.00 90.00 90.00°
Space group P4/mmm (No. 123)
One atom of each set of equivalent atoms:
Ho1 0.000 0.000 0.000 [1 per cell]
Er1 0.500 0.500 0.252 [2 per cell]
Lu1 0.000 0.000 0.500 [1 per cell]

Calculated values
Energy above the most stable polymorph in this dataset, meV per atom: 0
V, Å³/cell: 120.4
Energy relative to the elements, eV per atom: 0.027
Crystal system: tetragonal

=====

Entry from Alexandria: a relaxed HoEr2Lu crystal (PBE-GGA).

Cell: 4.935 4.935 4.937 Å, 90.00 90.00 90.00°
Space group P4/mmm (No. 123)
One atom of each set of equivalent atoms:
Ho1 0.000 0.000 0.000 [1 per cell]
Er1 0.000 0.500 0.500 [2 per cell]
Lu1 0.500 0.500 0.000 [1 per cell]

Calculated values
Energy above the most stable polymorph in this dataset, meV per atom: 0
V, Å³/cell: 120.2
Energy relative to the elements, eV per atom: 0.027
Crystal system: tetragonal

=====

Entry from Alexandria: a relaxed HoEr2Lu crystal (PBE-GGA).

Cell: 3.4936 3.4936 34.1067 Å, 90.00 90.00 120.00°
Space group R-3m (No. 166, hexagonal axes)
One atom of each set of equivalent atoms:
Ho1 0.0000 0.0000 0.0000 [3 per cell]
Er1 0.0000 0.0000 0.2494 [6 per cell]
Lu1 0.0000 0.0000 0.5000 [3 per cell]

Calculated values
Energy above the most stable polymorph in this dataset, meV per atom: 1
V, Å³/cell: 360.5
Energy relative to the elements, eV per atom: 0.028
Crystal system: trigonal

=====

Entry from Alexandria: a relaxed HoErLuMg crystal (PBE-GGA).

Cell: 7.683 7.683 7.683 Å, 90.00 90.00 90.00°
Space group F-43m (No. 216)
One atom of each set of equivalent atoms:
Ho1 0.000 0.000 0.000 [4 per cell]
Er1 0.000 0.000 0.500 [4 per cell]
Lu1 0.250 0.250 0.250 [4 per cell]
Mg1 0.250 0.250 0.750 [4 per cell]

Calculated values
V, Å³/cell: 453.5
Energy relative to the elements, eV per atom: 0.036
Crystal system: cubic

=====

Entry from Alexandria: a relaxed HoErLuOs crystal (PBE-GGA).

Cell: 7.164 7.164 7.164 Å, 90.00 90.00 90.00°
Space group F-43m (No. 216)
One atom of each set of equivalent atoms:
Ho1 0.000 0.000 0.000 [4 per cell]
Er1 0.000 0.000 0.500 [4 per cell]
Lu1 0.250 0.250 0.250 [4 per cell]
Os1 0.250 0.250 0.750 [4 per cell]

Calculated values
V, Å³/cell: 367.7
Energy relative to the elements, eV per atom: 0.063
Crystal system: cubic